[1]
! Nd4Dy2Ho5 (PBE-GGA, relaxed); values from VASP
! Polymorph energy (0 for the lowest one), meV per atom: 173
&SYSTEM
  ibrav = 0, nat = 11, ntyp = 3
/
ATOMIC_SPECIES
Nd 144.24 Nd.upf
Dy 162.50 Dy.upf
Ho 164.93 Ho.upf
ATOMIC_POSITIONS angstrom
Nd -1.395 -0.741 6.326
Nd -1.017 2.278 4.805
Nd -0.582 -0.309 2.640
Nd 5.554 7.142 2.061
Dy 3.711 4.772 1.377
Dy 0.825 4.648 5.489
Ho 2.897 7.015 4.328
Ho 4.087 7.648 -1.070
Ho 1.639 2.405 2.538
Ho 0.449 1.773 7.936
Ho -1.353 1.101 -0.169
CELL_PARAMETERS angstrom
-2.706 2.202 -0.339
-1.977 -1.050 8.966
9.219 8.269 -1.761


[2]
! NdDy2Ho4 (PBE-GGA, relaxed); values from VASP
! Polymorph energy (0 for the lowest one), meV per atom: 0
&SYSTEM
  ibrav = 0, nat = 7, ntyp = 3
/
ATOMIC_SPECIES
Ho 164.93 Ho.upf
Dy 162.50 Dy.upf
Nd 144.24 Nd.upf
ATOMIC_POSITIONS angstrom
Ho -1.264 6.560 -0.492
Ho 3.064 0.318 5.648
Ho 1.672 1.810 2.588
Ho 0.128 5.068 2.569
Dy 0.258 3.321 -0.225
Dy 1.542 3.557 5.382
Nd 0.000 0.000 0.000
CELL_PARAMETERS angstrom
3.500 -0.248 0.313
-2.636 8.324 -3.516
0.936 -1.198 8.359


[3]
! Nd2Dy2Ho3 (PBE-GGA, relaxed); values from VASP
! Polymorph energy (0 for the lowest one), meV per atom: 0
&SYSTEM
  ibrav = 0, nat = 7, ntyp = 3
/
ATOMIC_SPECIES
Dy 162.50 Dy.upf
Ho 164.93 Ho.upf
Nd 144.24 Nd.upf
ATOMIC_POSITIONS angstrom
Dy 4.264 -1.614 4.284
Dy 2.440 -0.442 1.283
Ho 2.930 -2.837 -1.292
Ho 1.343 0.430 4.608
Ho 5.361 -2.486 0.959
Nd 4.812 -5.757 -0.397
Nd 1.891 3.701 5.964
CELL_PARAMETERS angstrom
-1.499 -2.461 2.002
5.861 -5.673 -2.584
2.342 6.078 6.149


[4]
! Nd7Dy3Ho (PBE-GGA, relaxed); values from VASP
! Polymorph energy (0 for the lowest one), meV per atom: 45
&SYSTEM
  ibrav = 0, nat = 11, ntyp = 3
/
ATOMIC_SPECIES
Ho 164.93 Ho.upf
Dy 162.50 Dy.upf
Nd 144.24 Nd.upf
ATOMIC_POSITIONS angstrom
Ho 0.280 3.504 4.487
Dy -2.677 6.244 2.534
Dy -2.677 0.944 6.672
Dy 2.957 -0.090 -0.116
Nd 0.124 1.468 1.880
Nd 0.436 5.540 7.095
Nd 0.171 4.755 0.725
Nd 0.171 -0.450 4.789
Nd 0.390 2.252 8.250
Nd -2.677 3.594 4.603
Nd 0.390 7.458 4.185
CELL_PARAMETERS angstrom
5.915 -0.180 -0.231
-2.677 8.080 1.100
-2.677 -0.892 8.106


[5]
! NdDy5Ho5 (PBE-GGA, relaxed); values from VASP
! Calculated total energy, eV per atom: -4.286
&SYSTEM
  ibrav = 0, nat = 11, ntyp = 3
/
ATOMIC_SPECIES
Ho 164.93 Ho.upf
Nd 144.24 Nd.upf
Dy 162.50 Dy.upf
ATOMIC_POSITIONS angstrom
Ho 0.000 0.000 8.490
Ho 1.520 0.878 5.775
Ho 4.533 0.878 5.775
Ho 0.000 0.000 3.060
Ho 3.027 3.487 5.775
Nd 0.000 3.495 0.000
Dy 3.027 1.747 9.726
Dy 0.000 3.495 3.751
Dy 0.000 3.495 7.799
Dy 3.027 1.747 1.824
Dy 0.000 0.000 0.000
CELL_PARAMETERS angstrom
6.053 0.000 0.000
-3.027 5.242 0.000
0.000 0.000 11.550


[6]
! Nd4Dy2Ho5 (PBE-GGA, relaxed); values from VASP
! Polymorph energy (0 for the lowest one), meV per atom: 0
&SYSTEM
  ibrav = 0, nat = 11, ntyp = 3
/
ATOMIC_SPECIES
Dy 162.50 Dy.upf
Nd 144.24 Nd.upf
Ho 164.93 Ho.upf
ATOMIC_POSITIONS angstrom
Dy 0.925 -7.262 3.722
Dy -2.978 -2.037 3.449
Nd -1.483 -1.234 0.219
Nd 0.639 -1.851 4.272
Nd -0.570 -8.065 6.952
Nd -2.692 -7.447 2.899
Ho -0.627 1.196 2.489
Ho -1.549 -4.969 5.217
Ho -4.011 -4.798 1.293
Ho 1.958 -4.501 5.877
Ho -0.504 -4.330 1.953
CELL_PARAMETERS angstrom
-1.255 2.391 4.978
-5.778 -3.278 0.118
4.979 -8.412 2.075


[7]
! Nd2DyHo6 (PBE-GGA, relaxed); values from VASP
! Polymorph energy (0 for the lowest one), meV per atom: 0
&SYSTEM
  ibrav = 0, nat = 18, ntyp = 3
/
ATOMIC_SPECIES
Ho 164.93 Ho.upf
Nd 144.24 Nd.upf
Dy 162.50 Dy.upf
ATOMIC_POSITIONS angstrom
Ho 3.242 2.138 7.785
Ho 0.025 1.745 6.293
Ho 5.184 3.544 10.359
Ho 2.351 4.158 1.116
Ho 4.293 5.564 3.690
Ho 2.768 5.935 9.892
Ho 4.367 -0.314 5.556
Ho 1.068 0.039 2.409
Ho 3.169 8.016 5.919
Ho 6.468 7.662 9.066
Ho 7.510 5.957 5.181
Ho 4.767 1.766 1.583
Nd 4.814 5.236 7.125
Nd 2.721 2.465 4.350
Nd 6.050 2.827 4.684
Nd 1.485 4.874 6.790
Dy 6.462 7.822 2.684
Dy 1.073 -0.121 8.791
CELL_PARAMETERS angstrom
6.360 -0.371 1.597
2.032 9.352 0.422
-0.857 -1.280 9.455


[8]
! Nd5Dy5Ho (PBE-GGA, relaxed); values from VASP
! Calculated total energy, eV per atom: -4.417
&SYSTEM
  ibrav = 0, nat = 11, ntyp = 3
/
ATOMIC_SPECIES
Nd 144.24 Nd.upf
Dy 162.50 Dy.upf
Ho 164.93 Ho.upf
ATOMIC_POSITIONS angstrom
Nd -1.681 -3.074 -0.562
Nd -3.119 -2.033 -5.579
Nd -3.465 -4.623 2.151
Nd -4.903 -3.582 -2.865
Nd -2.486 1.501 -0.777
Dy -3.300 -5.910 -0.862
Dy -1.745 -1.515 2.656
Dy -1.772 -5.013 -4.014
Dy -4.811 -1.643 0.586
Dy -3.284 -0.746 -2.565
Ho 0.000 0.000 0.000
CELL_PARAMETERS angstrom
-4.972 3.003 -1.555
1.879 -6.630 -7.185
-3.490 -3.029 5.312


[9]
! NdDy2Ho5 (PBE-GGA, relaxed); values from VASP
! Polymorph energy (0 for the lowest one), meV per atom: 122
&SYSTEM
  ibrav = 0, nat = 16, ntyp = 3
/
ATOMIC_SPECIES
Nd 144.24 Nd.upf
Ho 164.93 Ho.upf
Dy 162.50 Dy.upf
ATOMIC_POSITIONS angstrom
Nd 0.116 3.403 1.915
Nd 3.943 4.100 6.702
Ho 3.169 0.982 5.206
Ho -2.276 7.424 4.666
Ho 0.890 6.520 3.411
Ho 0.661 6.526 7.043
Ho 5.505 0.398 7.520
Ho 1.820 7.352 -0.172
Ho 6.335 0.079 3.951
Ho 3.398 0.976 1.575
Ho -1.446 7.105 1.097
Ho 2.239 0.151 8.789
Dy 3.375 4.068 3.414
Dy 0.684 3.435 5.203
Dy 2.815 4.002 0.140
Dy 1.244 3.501 8.477
CELL_PARAMETERS angstrom
6.164 -0.403 0.464
-3.588 9.170 -1.431
1.482 -1.264 9.583


[10]
! Nd5Dy12Ho (PBE-GGA, relaxed); values from VASP
! Calculated total energy, eV per atom: -4.557
&SYSTEM
  ibrav = 0, nat = 18, ntyp = 3
/
ATOMIC_SPECIES
Dy 162.50 Dy.upf
Ho 164.93 Ho.upf
Nd 144.24 Nd.upf
ATOMIC_POSITIONS angstrom
Dy 13.590 5.530 2.881
Dy 13.604 3.082 5.754
Dy 9.964 5.530 2.877
Dy 4.075 3.100 2.875
Dy 7.702 3.100 2.880
Dy 9.951 3.082 0.004
Dy 8.264 0.000 5.742
Dy 3.513 0.000 0.013
Dy 9.437 0.000 2.867
Dy 7.715 5.548 5.753
Dy 2.340 0.000 2.889
Dy 4.062 5.548 0.002
Ho 0.000 0.000 0.000
Nd 5.889 6.273 2.878
Nd 5.889 2.400 0.001
Nd 11.777 6.230 0.002
Nd 11.777 2.357 2.879
Nd 5.889 0.000 2.878
CELL_PARAMETERS angstrom
11.777 0.000 0.002
5.889 8.630 0.001
0.000 0.000 5.753


[11]
! Nd2DyHo8 (PBE-GGA, relaxed); values from VASP
! Polymorph energy (0 for the lowest one), meV per atom: 14
&SYSTEM
  ibrav = 0, nat = 11, ntyp = 3
/
ATOMIC_SPECIES
Ho 164.93 Ho.upf
Nd 144.24 Nd.upf
Dy 162.50 Dy.upf
ATOMIC_POSITIONS angstrom
Ho 0.922 4.459 5.888
Ho 2.960 5.948 -1.477
Ho 4.749 2.700 -1.353
Ho 0.766 5.441 1.698
Ho 4.905 1.718 2.837
Ho 3.803 4.459 4.590
Ho 1.868 2.700 -0.054
Ho 2.711 1.211 6.012
Nd 4.240 4.802 1.361
Nd 1.431 2.357 3.175
Dy 0.000 0.000 0.000
CELL_PARAMETERS angstrom
6.027 0.000 -2.717
-0.721 6.419 -1.600
0.365 0.740 8.852


[12]
! Nd12Dy5Ho2 (PBE-GGA, relaxed); values from VASP
! Polymorph energy (0 for the lowest one), meV per atom: 0
&SYSTEM
  ibrav = 0, nat = 19, ntyp = 3
/
ATOMIC_SPECIES
Dy 162.50 Dy.upf
Nd 144.24 Nd.upf
Ho 164.93 Ho.upf
ATOMIC_POSITIONS angstrom
Dy 0.000 5.500 1.397
Dy 5.881 1.516 5.409
Dy 0.000 -0.968 2.969
Dy 5.881 4.227 3.140
Dy 0.000 2.790 3.666
Nd 5.881 0.469 1.721
Nd 0.000 2.139 0.221
Nd 2.929 0.660 3.842
Nd 3.029 3.138 1.520
Nd -2.852 3.879 5.286
Nd 5.881 4.878 6.585
Nd 2.852 3.879 5.286
Nd 0.000 6.548 5.086
Nd 8.733 3.138 1.520
Nd 8.832 0.660 3.842
Nd 2.952 6.357 2.965
Nd -2.952 6.357 2.965
Ho 2.718 0.000 0.000
Ho 9.043 0.000 0.000
CELL_PARAMETERS angstrom
11.761 0.000 0.000
-5.881 8.953 0.868
0.000 -1.937 5.939


[13]
! Nd7Dy2Ho3 (PBE-GGA, relaxed); values from VASP
! Polymorph energy (0 for the lowest one), meV per atom: 0
&SYSTEM
  ibrav = 0, nat = 12, ntyp = 3
/
ATOMIC_SPECIES
Dy 162.50 Dy.upf
Nd 144.24 Nd.upf
Ho 164.93 Ho.upf
ATOMIC_POSITIONS angstrom
Dy 1.783 4.659 6.470
Dy 1.783 4.000 12.395
Nd 0.000 3.945 3.494
Nd 1.783 7.931 15.726
Nd 1.783 0.728 3.139
Nd 0.000 0.000 0.000
Nd 1.783 6.005 9.557
Nd 1.783 2.654 9.308
Nd 0.000 4.714 15.370
Ho 0.000 1.505 6.227
Ho 1.783 3.206 0.439
Ho 0.000 7.154 12.638
CELL_PARAMETERS angstrom
3.566 0.000 0.000
0.000 6.411 0.878
0.000 2.248 17.987


[14]
! NdDy2Ho4 (PBE-GGA, relaxed); values from VASP
! Polymorph energy (0 for the lowest one), meV per atom: 92
&SYSTEM
  ibrav = 0, nat = 14, ntyp = 3
/
ATOMIC_SPECIES
Ho 164.93 Ho.upf
Dy 162.50 Dy.upf
Nd 144.24 Nd.upf
ATOMIC_POSITIONS angstrom
Ho -0.053 8.581 6.950
Ho -0.111 5.148 8.892
Ho 0.146 4.336 0.388
Ho 0.089 0.903 2.330
Ho 0.571 6.774 3.012
Ho 2.014 5.247 6.532
Ho -1.978 4.237 2.748
Ho -0.536 2.710 6.269
Dy 5.205 6.903 7.188
Dy -5.169 2.581 2.093
Dy -1.360 5.880 5.660
Dy 1.395 3.604 3.620
Nd -2.820 1.352 4.156
Nd 2.855 8.132 5.125
CELL_PARAMETERS angstrom
-3.178 4.400 -2.676
-4.396 -0.206 4.884
7.610 5.289 7.072


[15]
! Nd3Dy2Ho3 (PBE-GGA, relaxed); values from VASP
! Polymorph energy (0 for the lowest one), meV per atom: 0
&SYSTEM
  ibrav = 0, nat = 8, ntyp = 3
/
ATOMIC_SPECIES
Dy 162.50 Dy.upf
Nd 144.24 Nd.upf
Ho 164.93 Ho.upf
ATOMIC_POSITIONS angstrom
Dy 0.000 2.538 5.066
Dy 2.532 0.000 5.089
Nd 0.000 0.000 2.540
Nd 0.000 2.538 0.000
Nd 2.532 2.538 7.614
Ho 2.532 0.000 0.000
Ho 0.000 0.000 7.588
Ho 2.532 2.538 2.567
CELL_PARAMETERS angstrom
5.064 0.000 0.000
0.000 5.076 0.000
-2.532 -2.538 10.155


[16]
! Nd2DyHo (PBE-GGA, relaxed); values from VASP
! Polymorph energy (0 for the lowest one), meV per atom: 7
&SYSTEM
  ibrav = 0, nat = 4, ntyp = 3
/
ATOMIC_SPECIES
Nd 144.24 Nd.upf
Dy 162.50 Dy.upf
Ho 164.93 Ho.upf
ATOMIC_POSITIONS angstrom
Nd 0.322 -2.484 -1.837
Nd -3.030 0.473 0.496
Dy -2.780 -0.941 -2.802
Ho -0.072 1.071 -1.461
CELL_PARAMETERS angstrom
-0.144 2.142 -2.921
0.644 -4.968 -3.674
-6.060 0.945 0.992


[17]
! Nd12DyHo7 (PBE-GGA, relaxed); values from VASP
! Polymorph energy (0 for the lowest one), meV per atom: 11
&SYSTEM
  ibrav = 0, nat = 20, ntyp = 3
/
ATOMIC_SPECIES
Ho 164.93 Ho.upf
Nd 144.24 Nd.upf
Dy 162.50 Dy.upf
ATOMIC_POSITIONS angstrom
Ho 5.843 -7.462 -4.828
Ho -0.086 -3.352 -7.935
Ho -2.671 -3.552 3.511
Ho -2.590 -1.446 0.948
Ho 3.050 -7.962 -1.228
Ho 3.258 -7.662 6.618
Ho 0.122 -3.052 -0.089
Nd 5.717 -6.766 4.569
Nd 4.150 -3.398 2.741
Nd -1.909 -5.580 0.639
Nd -2.545 -4.249 -5.886
Nd 1.857 -7.711 3.537
Nd 0.536 -2.679 3.470
Nd 1.315 -3.303 -4.854
Nd 0.986 -5.491 -2.272
Nd 5.081 -5.434 -1.956
Nd 2.186 -5.523 0.955
Nd -0.978 -7.616 -4.058
Nd 2.636 -8.336 -4.787
Dy 0.000 0.000 0.000
CELL_PARAMETERS angstrom
-5.180 -2.892 1.896
0.742 -3.949 -10.815
7.610 -4.173 7.602


[18]
! Nd5Dy2Ho4 (PBE-GGA, relaxed); values from VASP
! Polymorph energy (0 for the lowest one), meV per atom: 0
&SYSTEM
  ibrav = 0, nat = 11, ntyp = 3
/
ATOMIC_SPECIES
Ho 164.93 Ho.upf
Nd 144.24 Nd.upf
Dy 162.50 Dy.upf
ATOMIC_POSITIONS angstrom
Ho 3.277 3.279 7.632
Ho 0.924 3.075 4.892
Ho 2.296 8.570 2.436
Ho -0.057 8.366 -0.304
Nd 1.773 0.000 -0.335
Nd 0.414 5.647 2.194
Nd 2.806 5.998 5.135
Nd 0.332 11.386 1.759
Nd 2.888 0.259 5.570
Dy 1.069 8.968 5.662
Dy 2.151 2.677 1.666
CELL_PARAMETERS angstrom
3.546 0.000 -0.670
-0.233 11.514 -1.233
-0.093 0.131 9.231


[19]
! Nd2DyHo6 (PBE-GGA, relaxed); values from VASP
! Polymorph energy (0 for the lowest one), meV per atom: 96
&SYSTEM
  ibrav = 0, nat = 18, ntyp = 3
/
ATOMIC_SPECIES
Ho 164.93 Ho.upf
Dy 162.50 Dy.upf
Nd 144.24 Nd.upf
ATOMIC_POSITIONS angstrom
Ho -7.455 -5.220 1.865
Ho -10.344 -4.452 3.674
Ho -2.921 -3.503 5.653
Ho -6.101 -9.420 8.225
Ho -1.793 -5.173 1.386
Ho -9.154 -7.778 2.656
Ho -10.282 -6.108 6.923
Ho -5.974 -1.861 0.085
Ho -2.346 -1.571 0.340
Ho -4.620 -6.061 6.444
Ho -1.731 -6.829 4.636
Ho -9.729 -9.710 7.969
Dy -2.834 -8.526 7.458
Dy -9.241 -2.755 0.851
Nd -4.596 -3.721 2.579
Nd -7.372 -4.203 5.312
Nd -7.479 -7.560 5.731
Nd -4.703 -7.078 2.997
CELL_PARAMETERS angstrom
-1.718 -6.157 -0.593
-0.238 -4.393 9.145
-10.119 -0.732 -0.243


[20]
! NdDy4Ho8 (PBE-GGA, relaxed); values from VASP
! Calculated total energy, eV per atom: -4.399
&SYSTEM
  ibrav = 0, nat = 13, ntyp = 3
/
ATOMIC_SPECIES
Ho 164.93 Ho.upf
Dy 162.50 Dy.upf
Nd 144.24 Nd.upf
ATOMIC_POSITIONS angstrom
Ho 0.366 -5.279 3.537
Ho -3.832 -4.985 3.573
Ho -4.998 -1.636 2.647
Ho -5.397 -4.754 0.762
Ho -7.117 -1.246 -0.317
Ho -1.354 -1.771 2.458
Ho -1.753 -4.888 0.573
Ho -2.919 -1.540 -0.353
Dy 1.544 -3.150 0.969
Dy 0.000 0.000 0.000
Dy -0.221 -2.889 -2.203
Dy -1.766 0.261 -3.172
Nd -1.610 -3.524 4.782
CELL_PARAMETERS angstrom
-3.531 0.523 -6.344
3.089 -6.300 1.938
-6.308 -0.748 7.626


In μB per atom, the total magnetic moment values for the records above are, in order, 0.000 0.000 0.000 0.000 0.001 0.000 0.000 0.040 0.000 0.000 0.000 0.000 0.000 0.000 0.000 0.000 0.000 0.000 0.000 0.000.
In states/eV/cell, the N(E_F) values for the records above are, in order, 16.23 10.27 10.57 14.81 19.90 16.15 23.39 18.79 23.08 27.58 16.90 27.09 17.53 23.28 12.01 6.32 28.20 15.50 24.65 14.63.